Version a
The following is a DFT calculation (PBE-GGA) of a relaxed structure of BeAg2Br.

a = 3.265 Å, b = 5.910 Å, c = 4.230 Å
α = 90.00°, β = 90.00°, γ = 90.00°
Sites, in units of the cell vectors:
Be 0.500 0.000 0.500
Br 0.000 0.500 0.500
Ag 0.000 0.000 0.000
Ag 0.500 0.500 0.000

**Space-group type**: No. 47
**DOS at the Fermi energy**: 0.167 states/eV per atom
**Total magnetization**: 0.00 μB per cell


Version b
The following is a DFT calculation (PBE-GGA) of a relaxed structure of BeAg2Br.

a = 4.527 Å, b = 4.527 Å, c = 3.654 Å
α = 90.00°, β = 90.00°, γ = 90.00°
Sites, in units of the cell vectors:
Be 0.500 0.000 0.500
Br 0.000 0.500 0.500
Ag 0.000 0.000 0.000
Ag 0.500 0.500 0.000

**Space-group type**: No. 123
**DOS at the Fermi energy**: 0.197 states/eV per atom
**Total magnetization**: 0.00 μB per cell


Stability ranking, top and bottom: version a is the most stable and version b is the least stable.


Version a
The following is a DFT calculation (PBE-GGA) of a relaxed structure of BeAg2Br.

a = 6.639 Å, b = 6.639 Å, c = 6.639 Å
α = 147.38°, β = 147.38°, γ = 46.81°
Sites, in units of the cell vectors:
Be 0.500 0.500 0.000
Br 0.750 0.250 0.500
Ag 0.000 0.000 0.000
Ag 0.250 0.750 0.500

**Space-group type**: No. 119
**DOS at the Fermi energy**: 0.223 states/eV per atom
**Total magnetization**: 0.00 μB per cell


Version b
The following is a DFT calculation (PBE-GGA) of a relaxed structure of BeAg2Br.

a = 6.654 Å, b = 6.654 Å, c = 6.654 Å
α = 153.45°, β = 140.65°, γ = 48.10°
Sites, in units of the cell vectors:
Be 0.483 0.483 0.000
Br 0.343 0.843 0.500
Ag 0.023 0.023 0.000
Ag 0.651 0.151 0.500

**Space-group type**: No. 44
**DOS at the Fermi energy**: 0.138 states/eV per atom
**Total magnetization**: 0.00 μB per cell


Stability ranking, top and bottom: version b is the most stable and version a is the least stable.


Version a
The following is a DFT calculation (PBE-GGA) of a relaxed structure of BeAg2Br.

a = 6.489 Å, b = 6.489 Å, c = 6.489 Å
α = 34.55°, β = 34.55°, γ = 34.55°
Sites, in units of the cell vectors:
Be 0.250 0.250 0.250
Br 0.750 0.750 0.750
Ag 0.970 0.970 0.970
Ag 0.530 0.530 0.530

**Space-group type**: No. 166
**DOS at the Fermi energy**: 0.188 states/eV per atom
**Total magnetization**: 0.00 μB per cell


Version b
The following is a DFT calculation (PBE-GGA) of a relaxed structure of BeAg2Br.

a = 4.689 Å, b = 4.689 Å, c = 6.555 Å
α = 111.37°, β = 111.37°, γ = 42.23°
Sites, in units of the cell vectors:
Be 0.398 0.398 0.624
Br 0.340 0.340 0.281
Ag 0.051 0.051 0.898
Ag 0.711 0.711 0.697

**Space-group type**: No. 8
**DOS at the Fermi energy**: 0.184 states/eV per atom
**Total magnetization**: 0.00 μB per cell


Stability ranking, top and bottom: version b is the most stable and version a is the least stable.


Version a
The following is a DFT calculation (PBE-GGA) of a relaxed structure of BeAg3Br.

a = 4.657 Å, b = 4.657 Å, c = 4.657 Å
α = 90.00°, β = 90.00°, γ = 90.00°
Sites, in units of the cell vectors:
Be 0.000 0.000 0.000
Br 0.500 0.500 0.500
Ag 0.000 0.500 0.000
Ag 0.000 0.000 0.500
Ag 0.500 0.000 0.000

**Space-group type**: No. 221
**DOS at the Fermi energy**: 0.629 states/eV per atom
**Total magnetization**: 0.00 μB per cell


Version b
The following is a DFT calculation (PBE-GGA) of a relaxed structure of BeAg3Br.

a = 5.226 Å, b = 5.226 Å, c = 5.226 Å
α = 90.00°, β = 90.00°, γ = 90.00°
Sites, in units of the cell vectors:
Be 0.500 0.500 0.500
Br 0.000 0.000 0.000
Ag 0.000 0.500 0.000
Ag 0.000 0.000 0.500
Ag 0.500 0.000 0.000

**Space-group type**: No. 221
**DOS at the Fermi energy**: 0.282 states/eV per atom
**Total magnetization**: 0.00 μB per cell


Stability ranking, top and bottom: version a is the most stable and version b is the least stable.


Version a
The following is a DFT calculation (PBE-GGA) of a relaxed structure of BeAgBr.

a = 7.228 Å, b = 6.695 Å, c = 3.553 Å
α = 83.73°, β = 67.02°, γ = 29.25°
Sites, in units of the cell vectors:
Be 0.673 0.673 0.327
Br 0.289 0.289 0.711
Ag 0.038 0.038 0.962

**Space-group type**: No. 42
**DOS at the Fermi energy**: 0.132 states/eV per atom
**Total magnetization**: 0.00 μB per cell


Version b
The following is a DFT calculation (PBE-GGA) of a relaxed structure of BeAgBr.

a = 4.565 Å, b = 4.565 Å, c = 4.565 Å
α = 60.00°, β = 60.00°, γ = 60.00°
Sites, in units of the cell vectors:
Be 0.000 0.000 0.000
Br 0.500 0.500 0.500
Ag 0.750 0.750 0.750

**Space-group type**: No. 216
**DOS at the Fermi energy**: 0.131 states/eV per atom
**Total magnetization**: 0.00 μB per cell


Stability ranking, top and bottom: version a is the most stable and version b is the least stable.


Version a
The following is a DFT calculation (PBE-GGA) of a relaxed structure of BeAgBr.

a = 3.338 Å, b = 3.338 Å, c = 6.130 Å
α = 90.00°, β = 90.00°, γ = 120.00°
Sites, in units of the cell vectors:
Be 0.667 0.333 0.346
Br 0.333 0.667 0.570
Ag 0.000 0.000 0.084

**Space-group type**: No. 156
**DOS at the Fermi energy**: 0.077 states/eV per atom
**Total magnetization**: 0.00 μB per cell


Version b
The following is a DFT calculation (PBE-GGA) of a relaxed structure of BeAgBr.

a = 6.690 Å, b = 6.690 Å, c = 6.690 Å
α = 153.13°, β = 153.13°, γ = 38.37°
Sites, in units of the cell vectors:
Be 0.332 0.332 0.000
Br 0.719 0.719 0.000
Ag 0.949 0.949 0.000

**Space-group type**: No. 107
**DOS at the Fermi energy**: 0.235 states/eV per atom
**Total magnetization**: 0.00 μB per cell


Stability ranking, top and bottom: version a is the most stable and version b is the least stable.


Version a
The following is a DFT calculation (PBE-GGA) of a relaxed structure of BeAgSeBr2.

a = 5.121 Å, b = 5.121 Å, c = 5.365 Å
α = 90.00°, β = 90.00°, γ = 90.00°
Sites, in units of the cell vectors:
Be 0.500 0.500 0.500
Se 0.000 0.000 0.500
Br 0.000 0.500 0.000
Br 0.500 0.000 0.000
Ag 0.000 0.000 0.000

**Space-group type**: No. 123
**DOS at the Fermi energy**: 0.680 states/eV per atom
**Total magnetization**: 0.00 μB per cell


Version b
The following is a DFT calculation (PBE-GGA) of a relaxed structure of BeAgSeBr2.

a = 5.036 Å, b = 5.036 Å, c = 4.498 Å
α = 90.00°, β = 90.00°, γ = 90.00°
Sites, in units of the cell vectors:
Be 0.000 0.000 0.000
Se 0.000 0.000 0.500
Br 0.000 0.500 0.000
Br 0.500 0.000 0.000
Ag 0.500 0.500 0.500

**Space-group type**: No. 123
**DOS at the Fermi energy**: 0.519 states/eV per atom
**Total magnetization**: 0.00 μB per cell


Stability ranking, top and bottom: version b is the most stable and version a is the least stable.


Version a
The following is a DFT calculation (PBE-GGA) of a relaxed structure of BeAgSe2Br.

a = 5.105 Å, b = 5.105 Å, c = 5.147 Å
α = 90.00°, β = 90.00°, γ = 90.00°
Sites, in units of the cell vectors:
Be 0.500 0.500 0.500
Se 0.000 0.500 0.000
Se 0.500 0.000 0.000
Br 0.000 0.000 0.500
Ag 0.000 0.000 0.000

**Space-group type**: No. 123
**DOS at the Fermi energy**: 0.751 states/eV per atom
**Total magnetization**: 0.00 μB per cell


Version b
The following is a DFT calculation (PBE-GGA) of a relaxed structure of BeAgSe2Br.

a = 4.274 Å, b = 4.274 Å, c = 7.301 Å
α = 90.00°, β = 90.00°, γ = 90.00°
Sites, in units of the cell vectors:
Be 0.000 0.000 0.000
Se 0.000 0.500 0.000
Se 0.500 0.000 0.000
Br 0.000 0.000 0.500
Ag 0.500 0.500 0.500

**Space-group type**: No. 123
**DOS at the Fermi energy**: 0.438 states/eV per atom
**Total magnetization**: 0.00 μB per cell


Stability ranking, top and bottom: version b is the most stable and version a is the least stable.


Version a
The following is a DFT calculation (PBE-GGA) of a relaxed structure of YBeAgBr2.

a = 4.733 Å, b = 5.047 Å, c = 4.733 Å
α = 90.00°, β = 90.00°, γ = 90.00°
Sites, in units of the cell vectors:
Y 0.500 0.500 0.500
Be 0.000 0.000 0.000
Br 0.000 0.000 0.500
Br 0.500 0.000 0.000
Ag 0.000 0.500 0.000

**Space-group type**: No. 123
**DOS at the Fermi energy**: 0.800 states/eV per atom
**Total magnetization**: 0.00 μB per cell


Version b
The following is a DFT calculation (PBE-GGA) of a relaxed structure of YBeAgBr2.

a = 5.503 Å, b = 6.018 Å, c = 5.503 Å
α = 90.00°, β = 90.00°, γ = 90.00°
Sites, in units of the cell vectors:
Y 0.000 0.000 0.000
Be 0.500 0.500 0.500
Br 0.000 0.000 0.500
Br 0.500 0.000 0.000
Ag 0.000 0.500 0.000

**Space-group type**: No. 123
**DOS at the Fermi energy**: 0.123 states/eV per atom
**Total magnetization**: 0.00 μB per cell


Stability ranking, top and bottom: version a is the most stable and version b is the least stable.


Version a
The following is a DFT calculation (PBE-GGA) of a relaxed structure of BeAgC3.

a = 3.683 Å, b = 3.683 Å, c = 3.683 Å
α = 90.00°, β = 90.00°, γ = 90.00°
Sites, in units of the cell vectors:
Be 0.000 0.000 0.000
C 0.000 0.500 0.000
C 0.000 0.000 0.500
C 0.500 0.000 0.000
Ag 0.500 0.500 0.500

**Space-group type**: No. 221
**DOS at the Fermi energy**: 0.399 states/eV per atom
**Total magnetization**: 0.00 μB per cell


Version b
The following is a DFT calculation (PBE-GGA) of a relaxed structure of BeAgC3.

a = 4.127 Å, b = 4.127 Å, c = 4.127 Å
α = 90.00°, β = 90.00°, γ = 90.00°
Sites, in units of the cell vectors:
Be 0.500 0.500 0.500
C 0.000 0.500 0.000
C 0.000 0.000 0.500
C 0.500 0.000 0.000
Ag 0.000 0.000 0.000

**Space-group type**: No. 221
**DOS at the Fermi energy**: 0.844 states/eV per atom
**Total magnetization**: 0.00 μB per cell


Stability ranking, top and bottom: version a is the most stable and version b is the least stable.


Version a
The following is a DFT calculation (PBE-GGA) of a relaxed structure of BeAg2C.

a = 4.155 Å, b = 4.155 Å, c = 4.155 Å
α = 60.00°, β = 60.00°, γ = 60.00°
Sites, in units of the cell vectors:
Be 0.000 0.000 0.000
C 0.500 0.500 0.500
Ag 0.250 0.250 0.250
Ag 0.750 0.750 0.750

**Space-group type**: No. 225
**DOS at the Fermi energy**: 0.642 states/eV per atom
**Total magnetization**: 0.00 μB per cell


Version b
The following is a DFT calculation (PBE-GGA) of a relaxed structure of BeAg2C.

a = 3.870 Å, b = 3.870 Å, c = 8.064 Å
α = 76.12°, β = 76.12°, γ = 90.00°
Sites, in units of the cell vectors:
Be 0.500 0.500 0.000
Be 0.250 0.750 0.500
C 0.000 0.000 0.000
C 0.750 0.250 0.500
Ag 0.640 0.125 0.250
Ag 0.110 0.625 0.250
Ag 0.375 0.360 0.750
Ag 0.875 0.890 0.750

**Space-group type**: No. 122
**DOS at the Fermi energy**: 0.348 states/eV per atom
**Total magnetization**: 0.00 μB per cell


Stability ranking, top and bottom: version a is the most stable and version b is the least stable.


Version a
The following is a DFT calculation (PBE-GGA) of a relaxed structure of Be3AgC.

a = 4.248 Å, b = 4.248 Å, c = 4.248 Å
α = 90.00°, β = 90.00°, γ = 90.00°
Sites, in units of the cell vectors:
Be 0.000 0.500 0.000
Be 0.000 0.000 0.500
Be 0.500 0.000 0.000
C 0.500 0.500 0.500
Ag 0.000 0.000 0.000

**Space-group type**: No. 221
**DOS at the Fermi energy**: 0.539 states/eV per atom
**Total magnetization**: 0.00 μB per cell


Version b
The following is a DFT calculation (PBE-GGA) of a relaxed structure of Be3AgC.

a = 3.673 Å, b = 3.673 Å, c = 3.673 Å
α = 90.00°, β = 90.00°, γ = 90.00°
Sites, in units of the cell vectors:
Be 0.000 0.500 0.000
Be 0.000 0.000 0.500
Be 0.500 0.000 0.000
C 0.000 0.000 0.000
Ag 0.500 0.500 0.500

**Space-group type**: No. 221
**DOS at the Fermi energy**: 0.314 states/eV per atom
**Total magnetization**: 0.00 μB per cell


Stability ranking, top and bottom: version b is the most stable and version a is the least stable.


Version a
The following is a DFT calculation (PBE-GGA) of a relaxed structure of CaBe2Ag2.

a = 4.327 Å, b = 4.327 Å, c = 5.660 Å
α = 67.53°, β = 67.53°, γ = 90.00°
Sites, in units of the cell vectors:
Be 0.750 0.250 0.500
Be 0.250 0.750 0.500
Ca 0.000 0.000 0.000
Ag 0.354 0.354 0.291
Ag 0.646 0.646 0.709

**Space-group type**: No. 139
**DOS at the Fermi energy**: 0.422 states/eV per atom
**Total magnetization**: 0.00 μB per cell


Version b
The following is a DFT calculation (PBE-GGA) of a relaxed structure of CaBe2Ag2.

a = 7.506 Å, b = 7.506 Å, c = 2.905 Å
α = 90.00°, β = 90.00°, γ = 90.00°
Sites, in units of the cell vectors:
Be 0.151 0.651 0.500
Be 0.651 0.849 0.500
Be 0.849 0.349 0.500
Be 0.349 0.151 0.500
Ca 0.000 0.000 0.000
Ca 0.500 0.500 0.000
Ag 0.363 0.863 0.000
Ag 0.863 0.637 0.000
Ag 0.637 0.137 0.000
Ag 0.137 0.363 0.000

**Space-group type**: No. 127
**DOS at the Fermi energy**: 0.432 states/eV per atom
**Total magnetization**: 0.00 μB per cell


Stability ranking, top and bottom: version a is the most stable and version b is the least stable.


Version a
The following is a DFT calculation (PBE-GGA) of a relaxed structure of CaBeAg.

a = 4.263 Å, b = 4.263 Å, c = 3.996 Å
α = 90.00°, β = 90.00°, γ = 120.00°
Sites, in units of the cell vectors:
Be 0.667 0.333 0.166
Ca 0.333 0.667 0.667
Ag 0.000 0.000 0.167

**Space-group type**: No. 187
**DOS at the Fermi energy**: 0.835 states/eV per atom
**Total magnetization**: 0.00 μB per cell


Version b
The following is a DFT calculation (PBE-GGA) of a relaxed structure of CaBeAg.

a = 4.540 Å, b = 4.540 Å, c = 4.540 Å
α = 60.00°, β = 60.00°, γ = 60.00°
Sites, in units of the cell vectors:
Be 0.750 0.750 0.750
Ca 0.000 0.000 0.000
Ag 0.500 0.500 0.500

**Space-group type**: No. 216
**DOS at the Fermi energy**: 0.843 states/eV per atom
**Total magnetization**: 0.00 μB per cell


Version c
The following is a DFT calculation (PBE-GGA) of a relaxed structure of CaBeAg.

a = 5.721 Å, b = 5.721 Å, c = 5.721 Å
α = 146.00°, β = 146.04°, γ = 48.82°
Sites, in units of the cell vectors:
Be 0.373 0.373 0.000
Ca 0.670 0.670 0.000
Ag 0.957 0.957 0.000

**Space-group type**: No. 107
**DOS at the Fermi energy**: 0.479 states/eV per atom
**Total magnetization**: 0.00 μB per cell


Version d
The following is a DFT calculation (PBE-GGA) of a relaxed structure of CaBeAg.

a = 4.808 Å, b = 4.808 Å, c = 4.808 Å
α = 60.00°, β = 60.00°, γ = 60.00°
Sites, in units of the cell vectors:
Be 0.500 0.500 0.500
Ca 0.750 0.750 0.750
Ag 0.000 0.000 0.000

**Space-group type**: No. 216
**DOS at the Fermi energy**: 0.926 states/eV per atom
**Total magnetization**: 0.00 μB per cell


Stability ranking, top and bottom: version a is the most stable and version d is the least stable.